NaHgSb2I | PBE | relaxed

a = 5.559 Å, b = 5.559 Å, c = 6.926 Å
α = 90.00°, β = 90.00°, γ = 90.00°
Element x y z (fractional)
Na 0.000 0.000 0.000
Hg 0.500 0.500 0.500
Sb 0.000 0.500 0.500
Sb 0.500 0.000 0.500
I 0.500 0.500 0.000

Summary:
The density of states at the Fermi level comes out at 2.51 states/eV/f.u. The value obtained for the energy above the lowest structure with this stoichiometry is 0 meV per atom.

***

NaHgSb2I | PBE | relaxed

a = 5.646 Å, b = 5.646 Å, c = 5.806 Å
α = 90.00°, β = 90.00°, γ = 90.00°
Element x y z (fractional)
Na 0.000 0.000 0.000
Hg 0.500 0.500 0.500
Sb 0.000 0.500 0.000
Sb 0.500 0.000 0.000
I 0.000 0.000 0.500

Summary:
The density of states at the Fermi level comes out at 5.41 states/eV/f.u. The value obtained for the energy above the lowest structure with this stoichiometry is 293 meV per atom.

***

Na2SnHgI4 | PBE | relaxed

a = 7.863 Å, b = 7.863 Å, c = 9.395 Å
α = 107.76°, β = 107.76°, γ = 34.40°
Element x y z (fractional)
Na 0.222 0.222 0.222
Na 0.778 0.778 0.778
Sn 0.000 0.000 0.500
Hg 0.500 0.500 0.000
I 0.152 0.152 0.827
I 0.374 0.374 0.580
I 0.626 0.626 0.420
I 0.848 0.848 0.173

Summary:
The density of states at the Fermi level comes out at 0.00 states/eV/f.u. The total energy is -2.39 eV per atom.

***

NaTcHgI2 | PBE | relaxed

a = 5.460 Å, b = 5.460 Å, c = 6.107 Å
α = 90.00°, β = 90.00°, γ = 90.00°
Element x y z (fractional)
Na 0.000 0.000 0.000
Tc 0.000 0.000 0.500
Hg 0.500 0.500 0.000
I 0.000 0.500 0.500
I 0.500 0.000 0.500

Summary:
The density of states at the Fermi level comes out at 3.56 states/eV/f.u. The total energy is -2.77 eV per atom.

***

Na2HgTeI | PBE | relaxed

a = 5.982 Å, b = 5.982 Å, c = 5.689 Å
α = 90.00°, β = 90.00°, γ = 90.00°
Element x y z (fractional)
Na 0.000 0.500 0.000
Na 0.500 0.000 0.000
Hg 0.000 0.000 0.500
Te 0.000 0.000 0.000
I 0.500 0.500 0.500

Summary:
The density of states at the Fermi level comes out at 1.16 states/eV/f.u. The total energy is -2.20 eV per atom.

***

NaHgTe2I | PBE | relaxed

a = 5.593 Å, b = 5.593 Å, c = 6.602 Å
α = 90.00°, β = 90.00°, γ = 90.00°
Element x y z (fractional)
Na 0.000 0.000 0.000
Hg 0.500 0.500 0.500
Te 0.000 0.500 0.500
Te 0.500 0.000 0.500
I 0.500 0.500 0.000

Summary:
The density of states at the Fermi level comes out at 8.69 states/eV/f.u. The value obtained for the energy above the lowest structure with this stoichiometry is 0 meV per atom.

***

NaHgTe2I | PBE | relaxed

a = 6.033 Å, b = 6.033 Å, c = 5.933 Å
α = 90.00°, β = 90.00°, γ = 90.00°
Element x y z (fractional)
Na 0.000 0.000 0.000
Hg 0.500 0.500 0.500
Te 0.000 0.500 0.000
Te 0.500 0.000 0.000
I 0.000 0.000 0.500

Summary:
The density of states at the Fermi level comes out at 3.41 states/eV/f.u. The value obtained for the energy above the lowest structure with this stoichiometry is 319 meV per atom.

***

NaHgTeI | PBE | relaxed

a = 4.841 Å, b = 6.365 Å, c = 4.640 Å
α = 90.00°, β = 90.00°, γ = 90.00°
Element x y z (fractional)
Na 0.000 0.000 0.000
Hg 0.500 0.500 0.240
Te 0.000 0.500 0.964
I 0.500 0.000 0.507

Summary:
The total energy is -2.12 eV per atom.

***

NaTiHgI6 | PBE | relaxed

a = 7.691 Å, b = 7.742 Å, c = 7.799 Å
α = 79.67°, β = 60.49°, γ = 68.56°
Element x y z (fractional)
Na 0.000 0.000 0.000
Ti 0.336 0.000 0.328
Hg 0.842 0.500 0.318
I 0.129 0.778 0.321
I 0.257 0.227 0.033
I 0.422 0.772 0.613
I 0.550 0.221 0.322
I 0.711 0.772 0.033
I 0.966 0.228 0.613

Summary:
The density of states at the Fermi level comes out at 1.26 states/eV/f.u. The total energy is -2.76 eV per atom.

***

NaTlHgI4 | PBE | relaxed

a = 7.888 Å, b = 8.393 Å, c = 9.268 Å
α = 90.00°, β = 105.98°, γ = 90.00°
Element x y z (fractional)
Na 0.234 0.250 0.070
Na 0.766 0.750 0.930
Tl 0.206 0.250 0.547
Tl 0.794 0.750 0.453
Hg 0.241 0.750 0.821
Hg 0.759 0.250 0.179
I 0.011 0.507 0.234
I 0.011 0.993 0.234
I 0.446 0.750 0.615
I 0.476 0.750 0.112
I 0.524 0.250 0.888
I 0.554 0.250 0.385
I 0.989 0.007 0.766
I 0.989 0.493 0.766

Summary:
The density of states at the Fermi level comes out at 0.00 states/eV/f.u. The total energy is -2.10 eV per atom.

***

NaTlHg2I6 | PBE | relaxed

a = 9.422 Å, b = 9.422 Å, c = 9.422 Å
α = 51.27°, β = 51.27°, γ = 51.27°
Element x y z (fractional)
Na 0.000 0.000 0.000
Tl 0.500 0.500 0.500
Hg 0.258 0.258 0.258
Hg 0.747 0.747 0.747
I 0.074 0.398 0.780
I 0.249 0.923 0.600
I 0.398 0.780 0.074
I 0.600 0.249 0.923
I 0.780 0.074 0.398
I 0.923 0.600 0.249

Summary:
The density of states at the Fermi level comes out at 0.00 states/eV/f.u. The total energy is -1.90 eV per atom.

***

Na2TlHgI6 | PBE | relaxed

a = 11.436 Å, b = 11.436 Å, c = 8.846 Å
α = 108.57°, β = 108.57°, γ = 98.80°
Element x y z (fractional)
Na 0.026 0.220 0.096
Na 0.220 0.026 0.596
Na 0.780 0.974 0.404
Na 0.974 0.780 0.904
Tl 0.401 0.599 0.750
Tl 0.599 0.401 0.250
Hg 0.343 0.657 0.250
Hg 0.657 0.343 0.750
I 0.038 0.176 0.441
I 0.152 0.602 0.924
I 0.176 0.038 0.941
I 0.305 0.414 0.299
I 0.398 0.848 0.576
I 0.414 0.305 0.799
I 0.586 0.695 0.201
I 0.602 0.152 0.424
I 0.695 0.586 0.701
I 0.824 0.962 0.059
I 0.848 0.398 0.076
I 0.962 0.824 0.559

Summary:
The density of states at the Fermi level comes out at 0.03 states/eV/f.u. The total energy is -2.10 eV per atom.